## GdErPb2 (PBE)

Data for an optimized crystal structure of GdErPb2.

Cell lengths 7.718, 7.718, 7.718 Å; angles 90.00, 90.00, 90.00 degrees
Space group Fm-3m (No. 225)
Inequivalent atoms, fractional coordinates:
Gd 0.000 0.000 0.000 (multiplicity 4)
Er 0.000 0.000 0.500 (multiplicity 4)
Pb 0.250 0.250 0.250 (multiplicity 8)

Energy relative to the elements: -0.3872 eV/atom
N(E_F): 4.23 states/eV/f.u.
Calculated density: 10.68 g cm⁻³
DFT total energy: -6.902 eV per atom

---

## GdErPb (PBE)

Data for an optimized crystal structure of GdErPb.

Cell lengths 5.3030, 5.3030, 3.7101 Å; angles 90.00, 90.00, 120.00 degrees
Space group P3m1 (No. 156)
Inequivalent atoms, fractional coordinates:
Gd 0.0000 0.0000 0.0000 (multiplicity 1)
Er 0.6667 0.3333 0.4615 (multiplicity 1)
Pb 0.3333 0.6667 0.6808 (multiplicity 1)

Energy relative to the elements: -0.2135 eV/atom
N(E_F): 4.28 states/eV/f.u.
Calculated density: 9.77 g cm⁻³
DFT total energy: -7.664 eV per atom

---

## GdErPb2 (PBE)

Data for an optimized crystal structure of GdErPb2.

Cell lengths 5.0756, 5.0756, 15.8445 Å; angles 90.00, 90.00, 120.00 degrees
Space group R-3m (No. 166, hexagonal axes)
Inequivalent atoms, fractional coordinates:
Gd 0.0000 0.0000 0.0000 (multiplicity 3)
Er 0.0000 0.0000 0.5000 (multiplicity 3)
Pb 0.0000 0.0000 0.2480 (multiplicity 6)

Energy relative to the elements: -0.4368 eV/atom
N(E_F): 2.66 states/eV/f.u.
Calculated density: 10.41 g cm⁻³
DFT total energy: -6.952 eV per atom

---

Question: The highest calculated density belongs to which entry?
Answer: number 1

---

Question: The highest N(E_F) belongs to which entry?
Answer: GdErPb

---

Question: Which of these has the highest energy relative to the elements?
Answer: GdErPb